DFT (PBE) results for ReRuSe after structural relaxation.

Output
**Mass density**: 13.35 g/cm3
**Energy relative to the elements, uncorrected**: 0.27 eV per atom
**ΔE to the lowest computed polymorph**: 25.8 meV/atom
**Density of states at the Fermi level**: 1.65 states/eV/f.u.

CIF file:
```
data_ReRuSe
_symmetry_space_group_name_H-M 'I 4 m m'
_symmetry_Int_Tables_number 107
_symmetry_space_group_name_Hall 'I 4 -2'
_cell_length_a 2.966
_cell_length_b 2.966
_cell_length_c 10.359
_cell_angle_alpha 90.00
_cell_angle_beta 90.00
_cell_angle_gamma 90.00
loop_
_atom_site_label
_atom_site_type_symbol
_atom_site_fract_x
_atom_site_fract_y
_atom_site_fract_z
_atom_site_occupancy
Re1 Re 0.000 0.000 0.000 1
Ru1 Ru 0.000 0.000 0.657 1
Se1 Se 0.000 0.000 0.338 1
```

DFT (PBE) results for Re4RuSe8 after structural relaxation.

Output
**Mass density**: 9.75 g/cm3
**Energy relative to the elements, uncorrected**: 0.15 eV per atom
**Density of states at the Fermi level**: 9.79 states/eV/f.u.

CIF file:
```
data_Re4RuSe8
_symmetry_space_group_name_H-M 'R -3 m'
_symmetry_Int_Tables_number 166
_symmetry_space_group_name_Hall '-R 3 2"'
_cell_length_a 6.3684
_cell_length_b 6.3684
_cell_length_c 21.4944
_cell_angle_alpha 90.00
_cell_angle_beta 90.00
_cell_angle_gamma 120.00
loop_
_atom_site_label
_atom_site_type_symbol
_atom_site_fract_x
_atom_site_fract_y
_atom_site_fract_z
_atom_site_occupancy
Re1 Re 0.0000 0.0000 0.0000 1
Re2 Re 0.0000 0.5000 0.0000 1
Ru1 Ru 0.0000 0.0000 0.5000 1
Se1 Se 0.0000 0.0000 0.2506 1
Se2 Se 0.0059 0.5030 0.2491 1
```

DFT (PBE) results for ReRu2Se after structural relaxation.

Output
**Mass density**: 13.12 g/cm3
**Energy relative to the elements, uncorrected**: 0.31 eV per atom
**ΔE to the lowest computed polymorph**: 130.0 meV/atom
**Density of states at the Fermi level**: 2.83 states/eV/f.u.

CIF file:
```
data_ReRu2Se
_symmetry_space_group_name_H-M 'P 4 m m'
_symmetry_Int_Tables_number 99
_symmetry_space_group_name_Hall 'P 4 -2'
_cell_length_a 2.930
_cell_length_b 2.930
_cell_length_c 6.891
_cell_angle_alpha 90.00
_cell_angle_beta 90.00
_cell_angle_gamma 90.00
loop_
_atom_site_label
_atom_site_type_symbol
_atom_site_fract_x
_atom_site_fract_y
_atom_site_fract_z
_atom_site_occupancy
Re1 Re 0.000 0.000 0.000 1
Ru1 Ru 0.000 0.000 0.528 1
Ru2 Ru 0.500 0.500 0.233 1
Se1 Se 0.500 0.500 0.736 1
```

DFT (PBE) results for ReRu2Se after structural relaxation.

Output
**Mass density**: 12.67 g/cm3
**Energy relative to the elements, uncorrected**: 0.44 eV per atom
**ΔE to the lowest computed polymorph**: 259.0 meV/atom
**Density of states at the Fermi level**: 4.59 states/eV/f.u.

CIF file:
```
data_ReRu2Se
_symmetry_space_group_name_H-M 'P m m 2'
_symmetry_Int_Tables_number 25
_symmetry_space_group_name_Hall 'P 2 -2'
_cell_length_a 2.866
_cell_length_b 3.784
_cell_length_c 5.646
_cell_angle_alpha 90.00
_cell_angle_beta 90.00
_cell_angle_gamma 90.00
loop_
_atom_site_label
_atom_site_type_symbol
_atom_site_fract_x
_atom_site_fract_y
_atom_site_fract_z
_atom_site_occupancy
Re1 Re 0.000 0.000 0.000 1
Ru1 Ru 0.000 0.000 0.483 1
Ru2 Ru 0.500 0.500 0.193 1
Se1 Se 0.500 0.500 0.654 1
```

DFT (PBE) results for ReRu2Se after structural relaxation.

Output
**Mass density**: 12.97 g/cm3
**Energy relative to the elements, uncorrected**: 0.69 eV per atom
**ΔE to the lowest computed polymorph**: 514.7 meV/atom
**Density of states at the Fermi level**: 4.38 states/eV/f.u.

CIF file:
```
data_ReRu2Se
_symmetry_space_group_name_H-M 'P 4/m m m'
_symmetry_Int_Tables_number 123
_symmetry_space_group_name_Hall '-P 4 2'
_cell_length_a 4.066
_cell_length_b 4.066
_cell_length_c 3.619
_cell_angle_alpha 90.00
_cell_angle_beta 90.00
_cell_angle_gamma 90.00
loop_
_atom_site_label
_atom_site_type_symbol
_atom_site_fract_x
_atom_site_fract_y
_atom_site_fract_z
_atom_site_occupancy
Re1 Re 0.000 0.000 0.000 1
Ru1 Ru 0.000 0.500 0.500 1
Se1 Se 0.500 0.500 0.000 1
```

DFT (PBE) results for ReRu2Se after structural relaxation.

Output
**Mass density**: 12.85 g/cm3
**Energy relative to the elements, uncorrected**: 0.65 eV per atom
**ΔE to the lowest computed polymorph**: 473.6 meV/atom
**Density of states at the Fermi level**: 4.54 states/eV/f.u.

CIF file:
```
data_ReRu2Se
_symmetry_space_group_name_H-M 'C 1 2/m 1'
_symmetry_Int_Tables_number 12
_symmetry_space_group_name_Hall '-C 2y'
_cell_length_a 5.362
_cell_length_b 8.737
_cell_length_c 2.915
_cell_angle_alpha 90.00
_cell_angle_beta 117.81
_cell_angle_gamma 90.00
loop_
_atom_site_label
_atom_site_type_symbol
_atom_site_fract_x
_atom_site_fract_y
_atom_site_fract_z
_atom_site_occupancy
Re1 Re 0.000 0.000 0.000 1
Ru1 Ru 0.250 0.250 0.500 1
Se1 Se 0.000 0.500 0.000 1
```

DFT (PBE) results for ReRu2Se after structural relaxation.

Output
**Mass density**: 12.72 g/cm3
**Energy relative to the elements, uncorrected**: 0.71 eV per atom
**ΔE to the lowest computed polymorph**: 532.0 meV/atom
**Density of states at the Fermi level**: 4.61 states/eV/f.u.

CIF file:
```
data_ReRu2Se
_symmetry_space_group_name_H-M 'F m -3 m'
_symmetry_Int_Tables_number 225
_symmetry_space_group_name_Hall '-F 4 2 3'
_cell_length_a 6.248
_cell_length_b 6.248
_cell_length_c 6.248
_cell_angle_alpha 90.00
_cell_angle_beta 90.00
_cell_angle_gamma 90.00
loop_
_atom_site_label
_atom_site_type_symbol
_atom_site_fract_x
_atom_site_fract_y
_atom_site_fract_z
_atom_site_occupancy
Re1 Re 0.000 0.000 0.000 1
Ru1 Ru 0.250 0.250 0.250 1
Se1 Se 0.000 0.000 0.500 1
```

DFT (PBE) results for ReRu2Se after structural relaxation.

Output
**Mass density**: 13.12 g/cm3
**Energy relative to the elements, uncorrected**: 0.22 eV per atom
**ΔE to the lowest computed polymorph**: 40.8 meV/atom
**Density of states at the Fermi level**: 4.32 states/eV/f.u.

CIF file:
```
data_ReRu2Se
_symmetry_space_group_name_H-M 'R -3 m'
_symmetry_Int_Tables_number 166
_symmetry_space_group_name_Hall '-R 3 2"'
_cell_length_a 2.8488
_cell_length_b 2.8488
_cell_length_c 25.2371
_cell_angle_alpha 90.00
_cell_angle_beta 90.00
_cell_angle_gamma 120.00
loop_
_atom_site_label
_atom_site_type_symbol
_atom_site_fract_x
_atom_site_fract_y
_atom_site_fract_z
_atom_site_occupancy
Re1 Re 0.0000 0.0000 0.0000 1
Ru1 Ru 0.0000 0.0000 0.2483 1
Se1 Se 0.0000 0.0000 0.5000 1
```

DFT (PBE) results for ReRuSe after structural relaxation.

Output
**Mass density**: 13.26 g/cm3
**Energy relative to the elements, uncorrected**: 0.25 eV per atom
**ΔE to the lowest computed polymorph**: 0.0 meV/atom
**Density of states at the Fermi level**: 1.95 states/eV/f.u.

CIF file:
```
data_ReRuSe
_symmetry_space_group_name_H-M 'P -6 m 2'
_symmetry_Int_Tables_number 187
_symmetry_space_group_name_Hall 'P -6 2'
_cell_length_a 2.9198
_cell_length_b 2.9198
_cell_length_c 12.4257
_cell_angle_alpha 90.00
_cell_angle_beta 90.00
_cell_angle_gamma 120.00
loop_
_atom_site_label
_atom_site_type_symbol
_atom_site_fract_x
_atom_site_fract_y
_atom_site_fract_z
_atom_site_occupancy
Re1 Re 0.0000 0.0000 0.0000 1
Re2 Re 0.0000 0.0000 0.5000 1
Ru1 Ru 0.6667 0.3333 0.1647 1
Se1 Se 0.3333 0.6667 0.3432 1
```

DFT (PBE) results for ReRuSe after structural relaxation.

Output
**Mass density**: 11.52 g/cm3
**Energy relative to the elements, uncorrected**: 0.46 eV per atom
**ΔE to the lowest computed polymorph**: 211.0 meV/atom
**Density of states at the Fermi level**: 3.49 states/eV/f.u.

CIF file:
```
data_ReRuSe
_symmetry_space_group_name_H-M 'F -4 3 m'
_symmetry_Int_Tables_number 216
_symmetry_space_group_name_Hall 'F -4 2 3'
_cell_length_a 5.954
_cell_length_b 5.954
_cell_length_c 5.954
_cell_angle_alpha 90.00
_cell_angle_beta 90.00
_cell_angle_gamma 90.00
loop_
_atom_site_label
_atom_site_type_symbol
_atom_site_fract_x
_atom_site_fract_y
_atom_site_fract_z
_atom_site_occupancy
Re1 Re 0.000 0.000 0.000 1
Ru1 Ru 0.250 0.250 0.750 1
Se1 Se 0.250 0.250 0.250 1
```

DFT (PBE) results for ReRu3Se after structural relaxation.

Output
**Mass density**: 9.11 g/cm3
**Energy relative to the elements, uncorrected**: 1.71 eV per atom
**ΔE to the lowest computed polymorph**: 182.1 meV/atom
**Density of states at the Fermi level**: 7.16 states/eV/f.u.

CIF file:
```
data_ReRu3Se
_symmetry_space_group_name_H-M 'P m -3 m'
_symmetry_Int_Tables_number 221
_symmetry_space_group_name_Hall '-P 4 2 3'
_cell_length_a 4.697
_cell_length_b 4.697
_cell_length_c 4.697
_cell_angle_alpha 90.00
_cell_angle_beta 90.00
_cell_angle_gamma 90.00
loop_
_atom_site_label
_atom_site_type_symbol
_atom_site_fract_x
_atom_site_fract_y
_atom_site_fract_z
_atom_site_occupancy
Re1 Re 0.000 0.000 0.000 1
Ru1 Ru 0.000 0.000 0.500 1
Se1 Se 0.500 0.500 0.500 1
```

DFT (PBE) results for ReRuSe3 after structural relaxation.

Output
**Mass density**: 7.56 g/cm3
**Energy relative to the elements, uncorrected**: 1.17 eV per atom
**ΔE to the lowest computed polymorph**: 0.0 meV/atom
**Density of states at the Fermi level**: 7.22 states/eV/f.u.

CIF file:
```
data_ReRuSe3
_symmetry_space_group_name_H-M 'P m -3 m'
_symmetry_Int_Tables_number 221
_symmetry_space_group_name_Hall '-P 4 2 3'
_cell_length_a 4.865
_cell_length_b 4.865
_cell_length_c 4.865
_cell_angle_alpha 90.00
_cell_angle_beta 90.00
_cell_angle_gamma 90.00
loop_
_atom_site_label
_atom_site_type_symbol
_atom_site_fract_x
_atom_site_fract_y
_atom_site_fract_z
_atom_site_occupancy
Re1 Re 0.000 0.000 0.000 1
Ru1 Ru 0.500 0.500 0.500 1
Se1 Se 0.000 0.000 0.500 1
```

DFT (PBE) results for ReRu2Se after structural relaxation.

Output
**Mass density**: 12.77 g/cm3
**Energy relative to the elements, uncorrected**: 0.32 eV per atom
**ΔE to the lowest computed polymorph**: 138.3 meV/atom
**Density of states at the Fermi level**: 3.00 states/eV/f.u.

CIF file:
```
data_ReRu2Se
_symmetry_space_group_name_H-M 'C 1 m 1'
_symmetry_Int_Tables_number 8
_symmetry_space_group_name_Hall 'C -2y'
_cell_length_a 9.533
_cell_length_b 2.891
_cell_length_c 4.410
_cell_angle_alpha 90.00
_cell_angle_beta 91.78
_cell_angle_gamma 90.00
loop_
_atom_site_label
_atom_site_type_symbol
_atom_site_fract_x
_atom_site_fract_y
_atom_site_fract_z
_atom_site_occupancy
Re1 Re 0.000 0.000 0.000 1
Ru1 Ru 0.057 0.500 0.532 1
Ru2 Ru 0.282 0.000 0.785 1
Se1 Se 0.282 0.500 0.302 1
```

DFT (PBE) results for ReRu2Se after structural relaxation.

Output
**Mass density**: 13.19 g/cm3
**Energy relative to the elements, uncorrected**: 0.52 eV per atom
**ΔE to the lowest computed polymorph**: 341.1 meV/atom
**Density of states at the Fermi level**: 3.03 states/eV/f.u.

CIF file:
```
data_ReRu2Se
_symmetry_space_group_name_H-M 'I 4/m m m'
_symmetry_Int_Tables_number 139
_symmetry_space_group_name_Hall '-I 4 2'
_cell_length_a 3.929
_cell_length_b 3.929
_cell_length_c 7.621
_cell_angle_alpha 90.00
_cell_angle_beta 90.00
_cell_angle_gamma 90.00
loop_
_atom_site_label
_atom_site_type_symbol
_atom_site_fract_x
_atom_site_fract_y
_atom_site_fract_z
_atom_site_occupancy
Re1 Re 0.000 0.000 0.000 1
Ru1 Ru 0.000 0.500 0.250 1
Se1 Se 0.000 0.000 0.500 1
```

DFT (PBE) results for ReRu2Se after structural relaxation.

Output
**Mass density**: 13.15 g/cm3
**Energy relative to the elements, uncorrected**: 0.32 eV per atom
**ΔE to the lowest computed polymorph**: 141.4 meV/atom
**Density of states at the Fermi level**: 3.42 states/eV/f.u.

CIF file:
```
data_ReRu2Se
_symmetry_space_group_name_H-M 'P 1 2/m 1'
_symmetry_Int_Tables_number 10
_symmetry_space_group_name_Hall '-P 2y'
_cell_length_a 2.870
_cell_length_b 4.007
_cell_length_c 5.286
_cell_angle_alpha 90.00
_cell_angle_beta 103.97
_cell_angle_gamma 90.00
loop_
_atom_site_label
_atom_site_type_symbol
_atom_site_fract_x
_atom_site_fract_y
_atom_site_fract_z
_atom_site_occupancy
Re1 Re 0.000 0.000 0.000 1
Ru1 Ru 0.378 0.500 0.747 1
Se1 Se 0.000 0.000 0.500 1
```